[1]
A plane-wave DFT calculation with PBE was carried out for a relaxed Ce3Er2ScAs6 crystal.

Formation energy   -1.44 eV/atom
Crystal system   monoclinic

Unit cell a=7.1439 b=7.1439 c=7.1119 alpha=99.65 beta=99.65 gamma=120.00
Sites, in units of the cell vectors:
As 0.4063 0.0793 0.2384
Ce 0.1683 0.8317 0.5000
As 0.5937 0.9207 0.7616
Sc 0.0000 0.0000 0.0000
Ce 0.8317 0.1683 0.5000
As 0.7533 0.7533 0.2405
As 0.9207 0.5937 0.7616
Er 0.3339 0.6661 0.0000
As 0.2467 0.2467 0.7595
Ce 0.5000 0.5000 0.5000
As 0.0793 0.4063 0.2384
Er 0.6661 0.3339 0.0000

---

[2]
A plane-wave DFT calculation with PBE was carried out for a relaxed AcIn6S8 crystal.

Crystal system   trigonal
Electronic total energy   -62.26 eV for the cell shown

Unit cell a=7.3053 b=7.3053 c=7.3053 alpha=94.50 beta=94.50 gamma=94.50
Sites, in units of the cell vectors:
In 0.3338 0.6210 0.2373
S 0.0899 0.8151 0.3719
In 0.2373 0.3338 0.6210
S 0.8151 0.3719 0.0899
Ac 0.0000 0.0000 0.0000
S 0.9101 0.1849 0.6281
S 0.3719 0.0899 0.8151
In 0.3790 0.7627 0.6662
S 0.7350 0.7350 0.7350
In 0.6210 0.2373 0.3338
S 0.2650 0.2650 0.2650
S 0.1849 0.6281 0.9101
In 0.7627 0.6662 0.3790
S 0.6281 0.9101 0.1849
In 0.6662 0.3790 0.7627

---

[3]
A plane-wave DFT calculation with PBE was carried out for a relaxed Li3Pm2NpSe6 crystal.

Crystal system   monoclinic
Electronic total energy   -67.11 eV for the cell shown

Unit cell a=7.2125 b=7.2125 c=6.9328 alpha=99.99 beta=99.99 gamma=119.98
Sites, in units of the cell vectors:
Se 0.4165 0.0862 0.2584
Se 0.9138 0.5835 0.7416
Se 0.7555 0.7555 0.2569
Li 0.5000 0.5000 0.5000
Se 0.5835 0.9138 0.7416
Se 0.2445 0.2445 0.7431
Li 0.1660 0.8340 0.5000
Np 0.0000 0.0000 0.0000
Se 0.0862 0.4165 0.2584
Pm 0.3333 0.6667 0.0000
Pm 0.6667 0.3333 0.0000
Li 0.8340 0.1660 0.5000

---

[4]
A plane-wave DFT calculation with PBE was carried out for a relaxed KSn3Ge crystal.

Polymorph energy (0 for the lowest one)   0.000 kcal/mol of atoms
Formation energy   -0.09 eV/atom
Crystal system   triclinic

Unit cell a=5.1061 b=5.1189 c=6.9036 alpha=69.90 beta=69.94 gamma=89.58
Sites, in units of the cell vectors:
Sn 0.7774 0.5805 0.1320
Sn 0.6496 0.9475 0.4149
Ge 0.0410 0.8448 0.6434
Sn 0.1438 0.4530 0.4160
K 0.3959 0.1993 0.9048

---

[5]
A plane-wave DFT calculation with PBE was carried out for a relaxed GaPd3N crystal.

Polymorph energy (0 for the lowest one)   29.330 kcal/mol of atoms
Crystal system   cubic

Unit cell a=4.6810 b=4.6810 c=4.6810 alpha=90.00 beta=90.00 gamma=90.00
Sites, in units of the cell vectors:
Pd 0.0000 0.0000 0.5000
N 0.5000 0.5000 0.5000
Ga 0.0000 0.0000 0.0000
Pd 0.5000 0.0000 0.0000
Pd 0.0000 0.5000 0.0000

---

[6]
A plane-wave DFT calculation with PBE was carried out for a relaxed CaEuErIn crystal.

Formation energy   -0.14 eV/atom
Crystal system   cubic

Unit cell a=5.6053 b=5.6053 c=5.6053 alpha=60.00 beta=60.00 gamma=60.00
Sites, in units of the cell vectors:
In 0.2500 0.2500 0.2500
Eu 0.0000 0.0000 0.0000
Ca 0.7500 0.7500 0.7500
Er 0.5000 0.5000 0.5000

---

[7]
A plane-wave DFT calculation with PBE was carried out for a relaxed InSN2F crystal.

Polymorph energy (0 for the lowest one)   19.159 kcal/mol of atoms
Crystal system   tetragonal

Unit cell a=4.3510 b=4.3510 c=5.3382 alpha=90.00 beta=90.00 gamma=90.00
Sites, in units of the cell vectors:
S 0.0000 0.0000 0.5000
N 0.0000 0.5000 0.0000
F 0.5000 0.5000 0.5000
N 0.5000 0.0000 0.0000
In 0.0000 0.0000 0.0000

---

[8]
A plane-wave DFT calculation with PBE was carried out for a relaxed VPd3N crystal.

Polymorph energy (0 for the lowest one)   32.785 kcal/mol of atoms
Crystal system   cubic

Unit cell a=4.6151 b=4.6151 c=4.6151 alpha=90.00 beta=90.00 gamma=90.00
Sites, in units of the cell vectors:
V 0.0000 0.0000 0.0000
Pd 0.0000 0.0000 0.5000
N 0.5000 0.5000 0.5000
Pd 0.5000 0.0000 0.0000
Pd 0.0000 0.5000 0.0000

---

[9]
A plane-wave DFT calculation with PBE was carried out for a relaxed Sr6Bi2Rh crystal.

Formation energy   -0.54 eV/atom
Crystal system   monoclinic

Unit cell a=7.7075 b=8.6347 c=11.0178 alpha=90.00 beta=90.31 gamma=90.00
Sites, in units of the cell vectors:
Sr 0.8265 0.6991 0.5528
Sr 0.6861 0.1771 0.5512
Sr 0.1861 0.3229 0.0512
Rh 0.0000 0.0000 0.5000
Sr 0.8139 0.6771 0.9488
Bi 0.5336 0.9055 0.7532
Sr 0.8938 0.9706 0.2475
Bi 0.4664 0.0945 0.2468
Sr 0.3139 0.8229 0.4488
Sr 0.6062 0.4706 0.2525
Sr 0.6735 0.1991 0.9472
Bi 0.0336 0.5945 0.2532
Sr 0.3938 0.5294 0.7475
Rh 0.5000 0.5000 0.0000
Sr 0.1735 0.3009 0.4472
Bi 0.9664 0.4055 0.7468
Sr 0.1062 0.0294 0.7525
Sr 0.3265 0.8009 0.0528

---

[10]
A plane-wave DFT calculation with PBE was carried out for a relaxed BeNi2Se2 crystal.

Polymorph energy (0 for the lowest one)   0.000 kcal/mol of atoms
Crystal system   tetragonal

Unit cell a=6.3759 b=6.3759 c=3.4793 alpha=90.00 beta=90.00 gamma=90.00
Sites, in units of the cell vectors:
Ni 0.8566 0.6434 0.0000
Ni 0.1434 0.3566 0.0000
Se 0.6725 0.8275 0.5000
Se 0.8275 0.3275 0.5000
Se 0.1725 0.6725 0.5000
Be 0.5000 0.5000 0.0000
Se 0.3275 0.1725 0.5000
Ni 0.3566 0.8566 0.0000
Ni 0.6434 0.1434 0.0000
Be 0.0000 0.0000 0.0000

---

[11]
A plane-wave DFT calculation with PBE was carried out for a relaxed TaSnCl3 crystal.

Polymorph energy (0 for the lowest one)   16.455 kcal/mol of atoms
Crystal system   cubic

Unit cell a=5.4754 b=5.4754 c=5.4754 alpha=90.00 beta=90.00 gamma=90.00
Sites, in units of the cell vectors:
Cl 0.5000 0.0000 0.0000
Cl 0.0000 0.5000 0.0000
Ta 0.5000 0.5000 0.5000
Sn 0.0000 0.0000 0.0000
Cl 0.0000 0.0000 0.5000

---

[12]
A plane-wave DFT calculation with PBE was carried out for a relaxed DyCo5Si3 crystal.

Crystal system   orthorhombic
Electronic total energy   -122.63 eV for the cell shown

Unit cell a=3.7009 b=6.1323 c=11.1778 alpha=90.00 beta=90.00 gamma=107.56
Sites, in units of the cell vectors:
Dy 0.1702 0.3405 0.2500
Co 0.5499 0.0998 0.6456
Co 0.8062 0.6123 0.4348
Co 0.4501 0.9002 0.3544
Si 0.3804 0.7608 0.5426
Si 0.6196 0.2392 0.4574
Si 0.3804 0.7608 0.9574
Co 0.4501 0.9002 0.1456
Co 0.1938 0.3877 0.9348
Si 0.6196 0.2392 0.0426
Co 0.0000 0.0000 0.5000
Si 0.1097 0.2194 0.7500
Si 0.8903 0.7806 0.2500
Co 0.0000 0.0000 0.0000
Co 0.8062 0.6123 0.0652
Co 0.1938 0.3877 0.5652
Dy 0.8298 0.6595 0.7500
Co 0.5499 0.0998 0.8544